RbSb2TeSe: optimized geometry, PBE.

abc: 6.212 6.212 6.195
angles: 90.00 90.00 90.00
Element x y z (fractional)
Sb (0.000, 0.500, 0.000)
Sb (0.500, 0.000, 0.000)
Te (0.000, 0.000, 0.500)
Se (0.500, 0.500, 0.500)
Rb (0.000, 0.000, 0.000)

N(E_F)	7.3	states/eV/cell
VASP energy	-0.1233	Ry/atom
formation energy without anion corrections	1.49	eV/atom
size of the total moment	1.47	Bohr magnetons per cell
theoretical density	3.72	Mg/m³

TlSiPbO2: optimized geometry, PBE.

abc: 4.258 6.140 4.258
angles: 90.00 90.00 90.00
Element x y z (fractional)
Pb (0.000, 0.500, 0.000)
Tl (0.000, 0.000, 0.000)
Si (0.500, 0.500, 0.500)
O (0.000, 0.000, 0.500)
O (0.500, 0.000, 0.000)

N(E_F)	4.2	states/eV/cell
VASP energy	-0.2753	Ry/atom
formation energy without anion corrections	0.54	eV/atom
size of the total moment	0.33	Bohr magnetons per cell
theoretical density	7.04	Mg/m³

LiNd2Ag2: optimized geometry, PBE.

abc: 6.202 6.390 7.987
angles: 113.58 112.85 90.00
Element x y z (fractional)
Li (0.750, 0.500, 0.000)
Li (0.250, 0.500, 0.000)
Nd (0.853, 0.679, 0.706)
Nd (0.147, 0.321, 0.294)
Nd (0.647, 0.973, 0.294)
Nd (0.353, 0.027, 0.706)
Ag (0.375, 0.564, 0.750)
Ag (0.625, 0.436, 0.250)
Ag (0.125, 0.814, 0.250)
Ag (0.875, 0.186, 0.750)

N(E_F)	10.4	states/eV/cell
VASP energy	-0.2563	Ry/atom
size of the total moment	0.00	Bohr magnetons per cell
theoretical density	6.46	Mg/m³

La2Cu12Ni3Ge: optimized geometry, PBE.

abc: 7.591 7.591 7.591
angles: 63.91 63.91 63.91
Element x y z (fractional)
La (0.611, 0.611, 0.611)
La (0.389, 0.389, 0.389)
Cu (0.343, 0.343, 0.016)
Cu (0.877, 0.877, 0.353)
Cu (0.353, 0.877, 0.877)
Cu (0.016, 0.343, 0.343)
Cu (0.877, 0.353, 0.877)
Cu (0.343, 0.016, 0.343)
Cu (0.657, 0.657, 0.984)
Cu (0.123, 0.123, 0.647)
Cu (0.647, 0.123, 0.123)
Cu (0.984, 0.657, 0.657)
Cu (0.123, 0.647, 0.123)
Cu (0.657, 0.984, 0.657)
Ni (0.500, 0.000, 0.000)
Ni (0.000, 0.500, 0.000)
Ni (0.000, 0.000, 0.500)
Ge (0.000, 0.000, 0.000)

N(E_F)	12.3	states/eV/cell
VASP energy	-0.3038	Ry/atom
size of the total moment	0.00	Bohr magnetons per cell
theoretical density	6.37	Mg/m³

Dy4NiRu: optimized geometry, PBE.

abc: 6.769 6.769 7.935
angles: 115.25 115.25 90.00
Element x y z (fractional)
Dy (0.446, 0.946, 0.258)
Dy (0.946, 0.812, 0.258)
Dy (0.312, 0.446, 0.258)
Dy (0.688, 0.554, 0.742)
Dy (0.054, 0.188, 0.742)
Dy (0.554, 0.054, 0.742)
Dy (0.188, 0.688, 0.742)
Dy (0.812, 0.312, 0.258)
Ni (0.500, 0.500, 0.000)
Ni (0.000, 0.000, 0.000)
Ru (0.250, 0.250, 0.500)
Ru (0.750, 0.750, 0.500)

N(E_F)	11.1	states/eV/cell
VASP energy	-0.4287	Ry/atom
size of the total moment	0.00	Bohr magnetons per cell
theoretical density	9.27	Mg/m³

Ho2SnPb: optimized geometry, PBE.

abc: 3.499 3.499 8.837
angles: 90.00 90.00 90.00
Element x y z (fractional)
Pb (0.500, 0.500, 0.500)
Ho (0.000, 0.000, 0.758)
Ho (0.000, 0.000, 0.242)
Sn (0.500, 0.500, 0.000)

N(E_F)	3.4	states/eV/cell
VASP energy	-0.3477	Ry/atom
size of the total moment	0.00	Bohr magnetons per cell
theoretical density	10.07	Mg/m³

AcBe4Ge3O12: optimized geometry, PBE.

abc: 6.232 6.232 6.232
angles: 105.49 105.49 105.49
Element x y z (fractional)
Ac (0.000, 0.000, 0.000)
Be (0.932, 0.068, 0.500)
Be (0.068, 0.500, 0.932)
Be (0.500, 0.932, 0.068)
Be (0.500, 0.500, 0.500)
Ge (0.563, 0.437, 0.000)
Ge (0.437, 0.000, 0.563)
Ge (0.000, 0.563, 0.437)
O (0.500, 0.341, 0.659)
O (0.909, 0.500, 0.091)
O (0.091, 0.909, 0.500)
O (0.500, 0.091, 0.909)
O (0.370, 0.966, 0.245)
O (0.245, 0.370, 0.966)
O (0.966, 0.245, 0.370)
O (0.630, 0.755, 0.034)
O (0.034, 0.630, 0.755)
O (0.755, 0.034, 0.630)
O (0.659, 0.500, 0.341)
O (0.341, 0.659, 0.500)

N(E_F)	10.8	states/eV/cell
VASP energy	-0.4970	Ry/atom
formation energy without anion corrections	-2.14	eV/atom
size of the total moment	0.96	Bohr magnetons per cell
theoretical density	5.34	Mg/m³

AsPt2Pb: optimized geometry, PBE.

abc: 4.704 4.028 4.619
angles: 86.08 90.00 90.00
Element x y z (fractional)
Pb (0.500, 0.784, 0.782)
As (0.000, 0.465, 0.368)
Pt (0.000, 0.983, 0.060)
Pt (0.500, 0.268, 0.290)

N(E_F)	1.4	states/eV/cell
VASP energy	-0.3855	Ry/atom
size of the total moment	0.00	Bohr magnetons per cell
theoretical density	12.78	Mg/m³

Sm4HoIn: optimized geometry, PBE.

abc: 4.107 4.107 11.244
angles: 90.00 90.00 90.00
Element x y z (fractional)
Sm (0.500, 0.500, 0.166)
Sm (0.000, 0.000, 0.647)
Sm (0.000, 0.000, 0.353)
Sm (0.500, 0.500, 0.834)
Ho (0.000, 0.000, 0.000)
In (0.500, 0.500, 0.500)

N(E_F)	10.9	states/eV/cell
VASP energy	-0.3262	Ry/atom
size of the total moment	0.00	Bohr magnetons per cell
theoretical density	7.72	Mg/m³

La4SbSe2S: optimized geometry, PBE.

abc: 8.731 8.731 8.708
angles: 119.92 119.92 90.00
Element x y z (fractional)
La (0.244, 0.734, 0.989)
La (0.766, 0.256, 0.511)
La (0.234, 0.744, 0.489)
La (0.756, 0.266, 0.011)
La (0.756, 0.744, 0.011)
La (0.756, 0.744, 0.489)
La (0.244, 0.256, 0.511)
La (0.244, 0.256, 0.989)
Sb (0.500, 0.500, 0.500)
Sb (0.000, 0.000, 0.000)
Se (0.500, 0.000, 0.000)
Se (0.500, 0.000, 0.500)
Se (0.000, 0.000, 0.500)
Se (0.500, 0.500, 0.000)
S (0.000, 0.500, 0.000)
S (0.000, 0.500, 0.500)

N(E_F)	9.8	states/eV/cell
VASP energy	-0.4558	Ry/atom
formation energy without anion corrections	-1.84	eV/atom
size of the total moment	0.00	Bohr magnetons per cell
theoretical density	6.12	Mg/m³

Te2MoAs: optimized geometry, PBE.

abc: 4.676 4.644 4.645
angles: 71.18 90.00 90.00
Element x y z (fractional)
Mo (0.500, 0.705, 0.705)
Te (0.000, 0.929, 0.929)
Te (0.500, 0.302, 0.302)
As (0.000, 0.564, 0.564)

N(E_F)	3.7	states/eV/cell
VASP energy	-0.3822	Ry/atom
formation energy without anion corrections	0.24	eV/atom
size of the total moment	0.62	Bohr magnetons per cell
theoretical density	7.41	Mg/m³

What did the fifth record say?
Dy4NiRu: optimized geometry, PBE.

abc: 6.769 6.769 7.935
angles: 115.25 115.25 90.00
Element x y z (fractional)
Dy (0.446, 0.946, 0.258)
Dy (0.946, 0.812, 0.258)
Dy (0.312, 0.446, 0.258)
Dy (0.688, 0.554, 0.742)
Dy (0.054, 0.188, 0.742)
Dy (0.554, 0.054, 0.742)
Dy (0.188, 0.688, 0.742)
Dy (0.812, 0.312, 0.258)
Ni (0.500, 0.500, 0.000)
Ni (0.000, 0.000, 0.000)
Ru (0.250, 0.250, 0.500)
Ru (0.750, 0.750, 0.500)

N(E_F)	11.1	states/eV/cell
VASP energy	-0.4287	Ry/atom
size of the total moment	0.00	Bohr magnetons per cell
theoretical density	9.27	Mg/m³